A relaxed structure of RbCaBi2. Source: the Alexandria database, functional PBE-GGA.

calculated density = 6.105 g cm⁻³
volume = 443.50 Å³ per cell
magnetic moment = 0.0 μB/cell
formation enthalpy at 0 K = -0.3745 eV per atom
crystal system = trigonal

Unit cell a=3.9630 b=3.9630 c=32.6080 alpha=90.00 beta=90.00 gamma=120.00
With the nearest neighbours (Å) after each atom.
Space group R-3m (No. 166, hexagonal axes)
Symmetry-distinct sites (fractional):
1 Rb 0.0000 0.0000 0.0000 x3  6 Bi 3.77, 6 Rb 3.96
2 Ca 0.0000 0.0000 0.5000 x3  6 Bi 3.34
3 Bi 0.0000 0.0000 0.2413 x6  3 Ca 3.34